[1]
Compound: Sm15Tm2In2
Source: Alexandria
Functional: PBE
Structure: relaxed

Cell and atoms, written as CIF:
```
data_Sm15Tm2In2
_cell_length_a 8.6706
_cell_length_b 8.6706
_cell_length_c 8.6706
_cell_angle_alpha 79.34
_cell_angle_beta 79.34
_cell_angle_gamma 79.34
_space_group_name_H-M_alt 'P 1'
_space_group_IT_number 1
loop_
_space_group_symop_operation_xyz
'x,y,z'
loop_
_atom_site_label
_atom_site_type_symbol
_atom_site_fract_x
_atom_site_fract_y
_atom_site_fract_z
Sm1 Sm 0.7076 0.2924 0.0000
Sm2 Sm 0.0000 0.7076 0.2924
Sm3 Sm 0.1566 0.6244 0.6244
Sm4 Sm 0.2924 0.0000 0.7076
Sm5 Sm 0.3756 0.3756 0.8434
Sm6 Sm 0.6244 0.1566 0.6244
Sm7 Sm 0.0000 0.5000 0.0000
Sm8 Sm 0.0000 0.2924 0.7076
Sm9 Sm 0.6244 0.6244 0.1566
Sm10 Sm 0.8434 0.3756 0.3756
Sm11 Sm 0.7076 0.0000 0.2924
Sm12 Sm 0.5000 0.0000 0.0000
Sm13 Sm 0.3756 0.8434 0.3756
Sm14 Sm 0.0000 0.0000 0.5000
Sm15 Sm 0.2924 0.7076 0.0000
Tm1 Tm 0.3124 0.3124 0.3124
Tm2 Tm 0.6876 0.6876 0.6876
In1 In 0.9053 0.9053 0.9053
In2 In 0.0947 0.0947 0.0947
```

Its crystal system is trigonal. As for the symmetry: R-3m, No. 166. As for the volume: 621.83 Å³/cell. The total energy comes out at -4.33 eV per atom. For the formation enthalpy at 0 K, the calculation gives 15 kJ/mol of atoms.



[2]
Compound: LiGaRhO4
Source: Alexandria
Functional: PBE
Structure: relaxed

Cell and atoms, written as CIF:
```
data_LiGaRhO4
_cell_length_a 5.9591
_cell_length_b 6.0300
_cell_length_c 6.0726
_cell_angle_alpha 120.23
_cell_angle_beta 90.00
_cell_angle_gamma 119.61
_space_group_name_H-M_alt 'P 1'
_space_group_IT_number 1
loop_
_space_group_symop_operation_xyz
'x,y,z'
loop_
_atom_site_label
_atom_site_type_symbol
_atom_site_fract_x
_atom_site_fract_y
_atom_site_fract_z
O1 O 0.7354 0.4708 0.2623
O2 O 0.7150 0.9753 0.7377
O3 O 0.7397 0.0247 0.2623
O4 O 0.2646 0.5292 0.2915
O5 O 0.2850 0.0247 0.2623
O6 O 0.7354 0.4708 0.7085
O7 O 0.2603 0.9753 0.7377
O8 O 0.2646 0.5292 0.7377
Li1 Li 0.8670 0.7341 0.1170
Li2 Li 0.1330 0.2659 0.8830
Rh1 Rh 0.5000 0.0000 0.0000
Rh2 Rh 0.5000 0.0000 0.5000
Ga1 Ga 0.0000 0.5000 0.5000
Ga2 Ga 0.5000 0.5000 0.5000
```

Its crystal system is orthorhombic. As for the symmetry: Imma, No. 74. As for the volume: 154.65 Å³/cell. The total energy comes out at -6.00 eV per atom. The value obtained for the energy relative to the elements, uncorrected is -9.891 eV/f.u.



[3]
Compound: MgHg2Rh
Source: Alexandria
Functional: PBE
Structure: relaxed

Cell and atoms, written as CIF:
```
data_MgHg2Rh
_cell_length_a 4.7209
_cell_length_b 4.7209
_cell_length_c 4.7209
_cell_angle_alpha 60.00
_cell_angle_beta 60.00
_cell_angle_gamma 60.00
_space_group_name_H-M_alt 'P 1'
_space_group_IT_number 1
loop_
_space_group_symop_operation_xyz
'x,y,z'
loop_
_atom_site_label
_atom_site_type_symbol
_atom_site_fract_x
_atom_site_fract_y
_atom_site_fract_z
Hg1 Hg 0.0000 0.0000 0.0000
Hg2 Hg 0.7500 0.7500 0.7500
Mg1 Mg 0.5000 0.5000 0.5000
Rh1 Rh 0.2500 0.2500 0.2500
```

Its crystal system is cubic. As for the symmetry: F-43m, No. 216. As for the volume: 74.40 Å³/cell. The total energy comes out at -2.40 eV per atom. For the formation enthalpy at 0 K, the calculation gives -1 kJ/mol of atoms.



[4]
Compound: SmZn2GaRh
Source: Alexandria
Functional: PBE
Structure: relaxed

Cell and atoms, written as CIF:
```
data_SmZn2GaRh
_cell_length_a 3.7722
_cell_length_b 4.2385
_cell_length_c 6.3839
_cell_angle_alpha 109.39
_cell_angle_beta 107.18
_cell_angle_gamma 90.00
_space_group_name_H-M_alt 'P 1'
_space_group_IT_number 1
loop_
_space_group_symop_operation_xyz
'x,y,z'
loop_
_atom_site_label
_atom_site_type_symbol
_atom_site_fract_x
_atom_site_fract_y
_atom_site_fract_z
Rh1 Rh 0.1825 0.6825 0.3649
Ga1 Ga 0.8289 0.8289 0.6578
Zn1 Zn 0.0532 0.0532 0.1063
Zn2 Zn 0.7020 0.2020 0.4039
Sm1 Sm 0.4457 0.4457 0.8913
```

Its crystal system is orthorhombic. As for the symmetry: Imm2, No. 44. As for the volume: 91.44 Å³/cell. The total energy comes out at -4.00 eV per atom. For the formation enthalpy at 0 K, the calculation gives -46 kJ/mol of atoms.



[5]
Compound: Ca2RuBr
Source: Alexandria
Functional: PBE
Structure: relaxed

Cell and atoms, written as CIF:
```
data_Ca2RuBr
_cell_length_a 5.0273
_cell_length_b 5.0273
_cell_length_c 5.0273
_cell_angle_alpha 60.00
_cell_angle_beta 60.00
_cell_angle_gamma 60.00
_space_group_name_H-M_alt 'P 1'
_space_group_IT_number 1
loop_
_space_group_symop_operation_xyz
'x,y,z'
loop_
_atom_site_label
_atom_site_type_symbol
_atom_site_fract_x
_atom_site_fract_y
_atom_site_fract_z
Br1 Br 0.5000 0.5000 0.5000
Ru1 Ru 0.7500 0.7500 0.7500
Ca1 Ca 0.0000 0.0000 0.0000
Ca2 Ca 0.2500 0.2500 0.2500
```

Its crystal system is cubic. As for the symmetry: F-43m, No. 216. As for the volume: 89.84 Å³/cell. The total energy comes out at -3.47 eV per atom. For the energy relative to the lowest polymorph listed for this composition, the calculation gives 775 meV/atom. The value obtained for the energy relative to the elements, uncorrected is 1.064 eV/f.u.



[6]
Compound: Pu4Tl3S8
Source: Alexandria
Functional: PBE
Structure: relaxed

Cell and atoms, written as CIF:
```
data_Pu4Tl3S8
_cell_length_a 8.1671
_cell_length_b 8.2802
_cell_length_c 8.2802
_cell_angle_alpha 90.44
_cell_angle_beta 118.78
_cell_angle_gamma 118.78
_space_group_name_H-M_alt 'P 1'
_space_group_IT_number 1
loop_
_space_group_symop_operation_xyz
'x,y,z'
loop_
_atom_site_label
_atom_site_type_symbol
_atom_site_fract_x
_atom_site_fract_y
_atom_site_fract_z
Pu1 Pu 0.0000 0.5000 0.0000
Pu2 Pu 0.5000 0.0000 0.0000
Pu3 Pu 0.0000 0.0000 0.5000
Pu4 Pu 0.0000 0.0000 0.0000
Tl1 Tl 0.5000 0.5000 0.5000
Tl2 Tl 0.5000 0.5000 0.0000
Tl3 Tl 0.5000 0.0000 0.5000
S1 S 0.5489 0.7943 0.7943
S2 S 0.4511 0.2057 0.2057
S3 S 0.5000 0.7676 0.2324
S4 S 0.0000 0.2312 0.7688
S5 S 0.5000 0.2324 0.7676
S6 S 0.0293 0.7766 0.7766
S7 S 0.0000 0.7688 0.2312
S8 S 0.9707 0.2234 0.2234
```

Its crystal system is monoclinic. As for the symmetry: C2/m, No. 12. As for the volume: 408.74 Å³/cell. The total energy comes out at -7.58 eV per atom. The value obtained for the energy relative to the elements, uncorrected is -16.321 eV/f.u.



[7]
Compound: Ba4AlMo
Source: Alexandria
Functional: PBE
Structure: relaxed

Cell and atoms, written as CIF:
```
data_Ba4AlMo
_cell_length_a 7.1137
_cell_length_b 7.1137
_cell_length_c 7.1137
_cell_angle_alpha 60.00
_cell_angle_beta 60.00
_cell_angle_gamma 60.00
_space_group_name_H-M_alt 'P 1'
_space_group_IT_number 1
loop_
_space_group_symop_operation_xyz
'x,y,z'
loop_
_atom_site_label
_atom_site_type_symbol
_atom_site_fract_x
_atom_site_fract_y
_atom_site_fract_z
Mo1 Mo 0.7500 0.7500 0.7500
Ba1 Ba 0.3746 0.8763 0.3746
Ba2 Ba 0.3746 0.3746 0.8763
Ba3 Ba 0.8763 0.3746 0.3746
Ba4 Ba 0.3746 0.3746 0.3746
Al1 Al 0.0000 0.0000 0.0000
```

Its crystal system is cubic. As for the symmetry: F-43m, No. 216. As for the volume: 254.55 Å³/cell. The total energy comes out at -2.60 eV per atom. For the formation enthalpy at 0 K, the calculation gives 107 kJ/mol of atoms.



[8]
Compound: K2Na8Tl
Source: Alexandria
Functional: PBE
Structure: relaxed

Cell and atoms, written as CIF:
```
data_K2Na8Tl
_cell_length_a 7.2053
_cell_length_b 9.1988
_cell_length_c 9.1988
_cell_angle_alpha 57.45
_cell_angle_beta 70.61
_cell_angle_gamma 70.61
_space_group_name_H-M_alt 'P 1'
_space_group_IT_number 1
loop_
_space_group_symop_operation_xyz
'x,y,z'
loop_
_atom_site_label
_atom_site_type_symbol
_atom_site_fract_x
_atom_site_fract_y
_atom_site_fract_z
K1 K 0.5553 0.8643 0.8643
K2 K 0.4447 0.1357 0.1357
Tl1 Tl 0.0000 0.0000 0.0000
Na1 Na 0.0616 0.7927 0.4012
Na2 Na 0.9384 0.5988 0.2073
Na3 Na 0.0616 0.4012 0.7927
Na4 Na 0.4074 0.4092 0.4092
Na5 Na 0.8549 0.2258 0.2258
Na6 Na 0.1451 0.7742 0.7742
Na7 Na 0.5926 0.5908 0.5908
Na8 Na 0.9384 0.2073 0.5988
```

Its crystal system is monoclinic. As for the symmetry: C2/m, No. 12. As for the volume: 475.70 Å³/cell. The total energy comes out at -1.34 eV per atom. For the formation enthalpy at 0 K, the calculation gives 3 kJ/mol of atoms. For the energy relative to the lowest polymorph listed for this composition, the calculation gives 32 meV/atom.



[9]
Compound: AgGe2PtO6
Source: Alexandria
Functional: PBE
Structure: relaxed

Cell and atoms, written as CIF:
```
data_AgGe2PtO6
_cell_length_a 5.7547
_cell_length_b 7.1949
_cell_length_c 7.1949
_cell_angle_alpha 86.60
_cell_angle_beta 78.81
_cell_angle_gamma 78.81
_space_group_name_H-M_alt 'P 1'
_space_group_IT_number 1
loop_
_space_group_symop_operation_xyz
'x,y,z'
loop_
_atom_site_label
_atom_site_type_symbol
_atom_site_fract_x
_atom_site_fract_y
_atom_site_fract_z
Pt1 Pt 0.2500 0.2810 0.7190
Pt2 Pt 0.7500 0.7190 0.2810
O1 O 0.7008 0.7583 0.9951
O2 O 0.6049 0.1744 0.6263
O3 O 0.6911 0.7108 0.6084
O4 O 0.8089 0.3916 0.2892
O5 O 0.1911 0.6084 0.7108
O6 O 0.3089 0.2892 0.3916
O7 O 0.8951 0.3737 0.8256
O8 O 0.2992 0.2417 0.0049
O9 O 0.3951 0.8256 0.3737
O10 O 0.1049 0.6263 0.1744
O11 O 0.7992 0.0049 0.2417
O12 O 0.2008 0.9951 0.7583
Ag1 Ag 0.7500 0.0869 0.9131
Ag2 Ag 0.2500 0.9131 0.0869
Ge1 Ge 0.8593 0.6216 0.7990
Ge2 Ge 0.1407 0.3784 0.2010
Ge3 Ge 0.6407 0.2010 0.3784
Ge4 Ge 0.3593 0.7990 0.6216
```

Its crystal system is monoclinic. As for the symmetry: C2/c, No. 15. As for the volume: 286.61 Å³/cell. The total energy comes out at -5.68 eV per atom. The value obtained for the energy relative to the elements, uncorrected is -8.897 eV/f.u.



[10]
Compound: K2TlSn2
Source: Alexandria
Functional: PBE
Structure: relaxed

Cell and atoms, written as CIF:
```
data_K2TlSn2
_cell_length_a 9.1391
_cell_length_b 9.1391
_cell_length_c 8.2720
_cell_angle_alpha 124.65
_cell_angle_beta 124.65
_cell_angle_gamma 62.51
_space_group_name_H-M_alt 'P 1'
_space_group_IT_number 1
loop_
_space_group_symop_operation_xyz
'x,y,z'
loop_
_atom_site_label
_atom_site_type_symbol
_atom_site_fract_x
_atom_site_fract_y
_atom_site_fract_z
K1 K 0.0453 0.5965 0.3365
K2 K 0.4035 0.9547 0.6635
K3 K 0.9547 0.4035 0.6635
K4 K 0.5965 0.0453 0.3365
Tl1 Tl 0.7240 0.2760 0.0000
Tl2 Tl 0.2760 0.7240 0.0000
Sn1 Sn 0.1570 0.1570 0.3023
Sn2 Sn 0.0782 0.0782 0.8653
Sn3 Sn 0.9218 0.9218 0.1347
Sn4 Sn 0.8430 0.8430 0.6977
```

Its crystal system is monoclinic. As for the symmetry: C2/m, No. 12. As for the volume: 457.67 Å³/cell. The total energy comes out at -2.66 eV per atom. For the formation enthalpy at 0 K, the calculation gives -14 kJ/mol of atoms. For the energy relative to the lowest polymorph listed for this composition, the calculation gives 0 meV/atom.